(1)
A plane-wave DFT calculation with PBE was carried out for a relaxed structure of La4Pm5Nd.

DFT total energy in eV per atom: -4.652
Energy relative to the elements in kJ/mol of atoms: 16.48
Calculated volume in Å³/atom: 36.75

Lattice parameters (Å, degrees): 17.6355 3.6280 11.4886 90.00 90.06 90.00
Last column: nearest neighbours and their distance in Å.
Space group C2/m (No. 12)
Asymmetric unit:
La  0.0308  0.0000  0.2504 [4 per cell]  4 Pm 3.37-3.44, 2 Nd 3.44, 4 La 3.63-3.77
La  0.1565  0.5000  0.7496 [4 per cell]  4 La 3.63-3.77, 7 Pm 3.74-3.98, 1 Nd 3.99
Pm  0.0000  0.5000  0.5000 [2 per cell]  4 La 3.44, 6 Pm 3.61-3.63
Pm  0.1737  0.0000  0.0548 [4 per cell]  2 La 3.38-3.74, 4 Pm 3.48-3.63, 2 Nd 3.61
Pm  0.1735  0.0000  0.4455 [4 per cell]  2 La 3.37-3.74, 6 Pm 3.48-3.63
Nd  0.0000  0.5000  0.0000 [2 per cell]  4 La 3.44, 4 Pm 3.61, 2 Nd 3.63


(2)
A plane-wave DFT calculation with PBE was carried out for a relaxed structure of La4Pm2Nd3.

DFT total energy in eV per atom: -4.821
Energy relative to the elements in kJ/mol of atoms: 1.39
Calculated volume in Å³/atom: 35.84

Lattice parameters (Å, degrees): 15.6872 5.2521 8.2546 90.00 108.46 90.00
Last column: nearest neighbours and their distance in Å.
Space group C2/m (No. 12)
Asymmetric unit:
La  0.0551  0.0000  0.3320 [4 per cell]  2 Pm 3.69, 6 Nd 3.70-3.72, 4 La 3.70-3.72
La  0.2228  0.5000  0.3322 [4 per cell]  3 Pm 3.68-3.70, 4 Nd 3.69-3.72, 5 La 3.70-3.72
Pm  0.1669  0.0000  0.0000 [4 per cell]  5 Nd 3.67-3.71, 5 La 3.68-3.70, 2 Pm 3.70
Nd  0.0000  0.5000  0.0000 [2 per cell]  2 Nd 3.69, 6 La 3.70, 4 Pm 3.71
Nd  0.1119  0.5000  0.6690 [4 per cell]  3 Pm 3.67-3.69, 2 Nd 3.69-3.73, 7 La 3.69-3.72